The following is a PBE calculation of InCoCu after structural relaxation, from Alexandria.

## Properties
The calculation puts the energy above the most stable polymorph in this dataset at 17 meV/atom.

Cell: 5.0081 5.0081 3.1158 Å, 71.88 71.88 36.25°
Site moments in Bohr magnetons follow the coordinates.
Positions (direct):
Cu: 0.3494 0.3494 0.6506  0.01
Co: 0.9867 0.9867 0.0133  1.01
In: 0.6639 0.6639 0.3361  -0.03



The following is a PBE calculation of RbSiIrS2 after structural relaxation, from Alexandria.

## Properties
The calculation puts the energy above the most stable polymorph in this dataset at 0 meV/atom. The value obtained for the uncorrected formation energy is 2.30 eV/atom.

Cell: 5.5524 5.1043 5.5524 Å, 90.00 90.00 90.00°
Site moments in Bohr magnetons follow the coordinates.
Positions (direct):
S: 0.0000 0.0000 0.5000  0.64
Si: 0.5000 0.5000 0.5000  -0.12
S: 0.5000 0.0000 0.0000  0.41
Ir: 0.0000 0.5000 0.0000  1.40
Rb: 0.0000 0.0000 0.0000  0.07



The following is a PBE calculation of RuRhPb2Br after structural relaxation, from Alexandria.

## Properties
The value obtained for the uncorrected formation energy is 0.91 eV/atom.

Cell: 5.3009 4.9137 5.3009 Å, 90.00 90.00 90.00°
Site moments in Bohr magnetons follow the coordinates.
Positions (direct):
Br: 0.0000 0.5000 0.0000  0.04
Pb: 0.0000 0.0000 0.5000  -0.06
Pb: 0.5000 0.0000 0.0000  -0.04
Rh: 0.0000 0.0000 0.0000  -0.09
Ru: 0.5000 0.5000 0.5000  2.20



The following is a PBE calculation of Ta2AgRh after structural relaxation, from Alexandria.

## Properties
The total energy is -8.50 eV/atom.

Cell: 4.9977 4.9977 2.8589 Å, 90.00 90.00 111.05°
Positions (direct):
Ag: 0.5000 0.5000 0.5000
Ta: 0.0000 0.5000 0.0000
Rh: 0.0000 0.0000 0.5000
Ta: 0.5000 0.0000 0.0000



The following is a PBE calculation of Pm4HoN4 after structural relaxation, from Alexandria.

## Properties
The value obtained for the uncorrected formation energy is -1.31 eV/atom.

Cell: 5.1151 6.2292 6.2289 Å, 80.29 65.76 65.76°
Positions (direct):
Pm: 0.6101 0.5785 0.2014
Pm: 0.3899 0.4215 0.7986
N: 0.2900 0.8045 0.6154
Pm: 0.8115 0.7986 0.5784
Ho: 0.0000 0.0000 0.0000
N: 0.7100 0.1955 0.3846
N: 0.0944 0.6158 0.1954
Pm: 0.1885 0.2014 0.4216
N: 0.9056 0.3842 0.8046



The following is a PBE calculation of Fe4CoIr15 after structural relaxation, from Alexandria.

## Properties
The total energy is -8.72 eV/atom.

Cell: 3.8241 3.8241 19.0838 Å, 90.00 90.00 90.00°
Site moments in Bohr magnetons follow the coordinates.
Positions (direct):
Fe: 0.0000 0.0000 0.3991  2.77
Ir: 0.0000 0.5000 0.0997  -0.09
Ir: 0.5000 0.5000 0.1994  0.07
Ir: 0.5000 0.5000 0.0000  -0.19
Ir: 0.0000 0.5000 0.9003  -0.09
Ir: 0.5000 0.5000 0.6004  0.12
Ir: 0.0000 0.5000 0.5000  0.11
Fe: 0.0000 0.0000 0.8030  2.59
Ir: 0.5000 0.0000 0.9003  -0.09
Ir: 0.0000 0.5000 0.2995  0.10
Ir: 0.5000 0.0000 0.2995  0.10
Ir: 0.5000 0.0000 0.0997  -0.09
Ir: 0.5000 0.0000 0.7005  0.10
Fe: 0.0000 0.0000 0.6009  2.77
Ir: 0.0000 0.5000 0.7005  0.10
Ir: 0.5000 0.0000 0.5000  0.11
Ir: 0.5000 0.5000 0.8006  0.07
Fe: 0.0000 0.0000 0.1970  2.59
Co: 0.0000 0.0000 0.0000  -1.50
Ir: 0.5000 0.5000 0.3996  0.12



Size of the total moment? In order: 0.94, 2.86, 2.18, 0.00, 0.00, 9.79 μB/f.u..
DOS(E_F)? In order: 3.6, 3.8, 4.3, 2.8, 3.5, 23.2 states/eV/f.u..